Entry 1:
An optimized crystal structure of GaAgPt2, computed with GGA-PBE.

a b c (Å): 3.797 4.081 4.081
angles (deg): 90.00 90.00 90.00
Fractional coordinates of all 4 atoms:
Ga  0.500  0.500  0.500
Ag  0.500  0.000  0.000
Pt  0.000  0.500  0.000
Pt  0.000  0.000  0.500

Values from the calculation:
- formation energy (eV per atom) = -0.33
- total magnetic moment (μB/cell) = 0.00
- DOS at the Fermi energy (states/eV per atom) = 0.221
- space group = No. 123

***

Entry 2:
An optimized crystal structure of Ga3AgPt3, computed with GGA-PBE.

a b c (Å): 6.871 6.871 6.871
angles (deg): 90.00 90.00 90.00
Fractional coordinates of all 14 atoms:
Pt  0.500  0.000  0.250
Ga  0.750  0.000  0.500
Ga  0.500  0.750  0.000
Ga  0.000  0.500  0.250
Ag  0.500  0.500  0.500
Pt  0.500  0.000  0.750
Pt  0.000  0.750  0.500
Ag  0.000  0.000  0.000
Pt  0.000  0.250  0.500
Ga  0.000  0.500  0.750
Pt  0.750  0.500  0.000
Pt  0.250  0.500  0.000
Ga  0.250  0.000  0.500
Ga  0.500  0.250  0.000

Values from the calculation:
- formation energy (eV per atom) = 0.00
- total magnetic moment (μB/cell) = 0.00
- DOS at the Fermi energy (states/eV per atom) = 0.415
- space group = No. 223

***

Entry 3:
An optimized crystal structure of Ga2AgPt2, computed with GGA-PBE.

a b c (Å): 7.541 7.541 2.847
angles (deg): 90.00 90.00 90.00
Fractional coordinates of all 10 atoms:
Ga  0.156  0.656  0.500
Ag  0.500  0.500  0.000
Pt  0.858  0.642  0.000
Ag  0.000  0.000  0.000
Pt  0.358  0.858  0.000
Ga  0.844  0.344  0.500
Pt  0.642  0.142  0.000
Ga  0.344  0.156  0.500
Ga  0.656  0.844  0.500
Pt  0.142  0.358  0.000

Values from the calculation:
- formation energy (eV per atom) = -0.48
- total magnetic moment (μB/cell) = 0.00
- DOS at the Fermi energy (states/eV per atom) = 0.201
- space group = No. 127

***

Entry 4:
An optimized crystal structure of Ga2AgPt2, computed with GGA-PBE.

a b c (Å): 4.017 4.017 6.203
angles (deg): 71.11 71.11 90.00
Fractional coordinates of all 5 atoms:
Ga  0.611  0.611  0.779
Ag  0.000  0.000  0.000
Pt  0.250  0.750  0.500
Ga  0.389  0.389  0.221
Pt  0.750  0.250  0.500

Values from the calculation:
- formation energy (eV per atom) = -0.30
- total magnetic moment (μB/cell) = 0.00
- DOS at the Fermi energy (states/eV per atom) = 0.331
- space group = No. 139

***

Entry 5:
An optimized crystal structure of Ga2AgPt2, computed with GGA-PBE.

a b c (Å): 3.838 3.838 6.517
angles (deg): 72.87 72.87 90.00
Fractional coordinates of all 5 atoms:
Ga  0.750  0.250  0.500
Ag  0.000  0.000  0.000
Pt  0.611  0.611  0.778
Pt  0.389  0.389  0.222
Ga  0.250  0.750  0.500

Values from the calculation:
- formation energy (eV per atom) = -0.39
- total magnetic moment (μB/cell) = 0.00
- DOS at the Fermi energy (states/eV per atom) = 0.189
- space group = No. 139

***

Entry 6:
An optimized crystal structure of PuGaAgPt, computed with GGA-PBE.

a b c (Å): 4.822 4.822 4.822
angles (deg): 60.00 60.00 60.00
Site moments in Bohr magnetons follow the coordinates.
Fractional coordinates of all 4 atoms:
Pu  0.500  0.500  0.500  5.09
Ga  0.000  0.000  0.000  0.00
Ag  0.750  0.750  0.750  0.03
Pt  0.250  0.250  0.250  -0.08

Values from the calculation:
- formation energy (eV per atom) = -0.30
- total magnetic moment (μB/cell) = 5.24
- DOS at the Fermi energy (states/eV per atom) = 3.020
- space group = No. 216